Record 1
# MnReP2 (PBE, optimized geometry)
# DOS at the Fermi energy: 1.93 states/eV/f.u.
# Symmetry: No. 99
# Distance to the lowest polymorph of the same formula: 0.000 eV per formula unit
data_MnReP2
_chemical_formula_sum 'Mn1 Re1 P2'
_cell_length_a 3.089
_cell_length_b 3.089
_cell_length_c 5.335
_cell_angle_alpha 90.00
_cell_angle_beta 90.00
_cell_angle_gamma 90.00
_symmetry_space_group_name_H-M 'P 1'
_symmetry_Int_Tables_number 1
_symmetry_space_group_name_Hall 'P 1'
loop_
_atom_site_label
_atom_site_type_symbol
_atom_site_fract_x
_atom_site_fract_y
_atom_site_fract_z
Mn1 Mn 0.000 0.000 0.000
Re1 Re 0.500 0.500 0.641
P1 P 0.000 0.000 0.443
P2 P 0.500 0.500 0.138

***

Record 2
# ScAs (PBE, optimized geometry)
# DOS at the Fermi energy: 0.12 states/eV/f.u.
# Symmetry: No. 87
data_ScAs
_chemical_formula_sum 'Sc4 As4'
_cell_length_a 7.042
_cell_length_b 7.042
_cell_length_c 7.042
_cell_angle_alpha 98.43
_cell_angle_beta 98.43
_cell_angle_gamma 134.97
_symmetry_space_group_name_H-M 'P 1'
_symmetry_Int_Tables_number 1
_symmetry_space_group_name_Hall 'P 1'
loop_
_atom_site_label
_atom_site_type_symbol
_atom_site_fract_x
_atom_site_fract_y
_atom_site_fract_z
Sc1 Sc 0.142 0.357 0.499
Sc2 Sc 0.357 0.858 0.215
Sc3 Sc 0.643 0.142 0.785
Sc4 Sc 0.858 0.643 0.501
As1 As 0.151 0.651 0.802
As2 As 0.349 0.151 0.501
As3 As 0.651 0.849 0.499
As4 As 0.849 0.349 0.198

***

Record 3
# CaMg4Tl15 (PBE, optimized geometry)
# DOS at the Fermi energy: 6.41 states/eV/f.u.
# Symmetry: No. 123
data_CaMg4Tl15
_chemical_formula_sum 'Ca1 Mg4 Tl15'
_cell_length_a 4.853
_cell_length_b 4.853
_cell_length_c 23.953
_cell_angle_alpha 90.00
_cell_angle_beta 90.00
_cell_angle_gamma 90.00
_symmetry_space_group_name_H-M 'P 1'
_symmetry_Int_Tables_number 1
_symmetry_space_group_name_Hall 'P 1'
loop_
_atom_site_label
_atom_site_type_symbol
_atom_site_fract_x
_atom_site_fract_y
_atom_site_fract_z
Ca1 Ca 0.000 0.000 0.000
Mg1 Mg 0.000 0.000 0.198
Mg2 Mg 0.000 0.000 0.400
Mg3 Mg 0.000 0.000 0.600
Mg4 Mg 0.000 0.000 0.802
Tl1 Tl 0.000 0.500 0.104
Tl2 Tl 0.000 0.500 0.300
Tl3 Tl 0.000 0.500 0.500
Tl4 Tl 0.000 0.500 0.700
Tl5 Tl 0.000 0.500 0.896
Tl6 Tl 0.500 0.000 0.104
Tl7 Tl 0.500 0.000 0.300
Tl8 Tl 0.500 0.000 0.500
Tl9 Tl 0.500 0.000 0.700
Tl10 Tl 0.500 0.000 0.896
Tl11 Tl 0.500 0.500 0.000
Tl12 Tl 0.500 0.500 0.202
Tl13 Tl 0.500 0.500 0.400
Tl14 Tl 0.500 0.500 0.600
Tl15 Tl 0.500 0.500 0.798

***

Record 4
# ReTeIO2 (PBE, optimized geometry)
# DOS at the Fermi energy: 3.46 states/eV/f.u.
# Symmetry: No. 123
# Distance to the lowest polymorph of the same formula: 0.000 eV per formula unit
# Raw formation energy: -0.86 eV per formula unit
data_ReTeIO2
_chemical_formula_sum 'Re1 Te1 I1 O2'
_cell_length_a 3.997
_cell_length_b 3.997
_cell_length_c 6.047
_cell_angle_alpha 90.00
_cell_angle_beta 90.00
_cell_angle_gamma 90.00
_symmetry_space_group_name_H-M 'P 1'
_symmetry_Int_Tables_number 1
_symmetry_space_group_name_Hall 'P 1'
loop_
_atom_site_label
_atom_site_type_symbol
_atom_site_fract_x
_atom_site_fract_y
_atom_site_fract_z
Re1 Re 0.000 0.000 0.000
Te1 Te 0.500 0.500 0.500
I1 I 0.000 0.000 0.500
O1 O 0.000 0.500 0.000
O2 O 0.500 0.000 0.000

***

Record 5
# CeMg2GaPd4 (PBE, optimized geometry)
# DOS at the Fermi energy: 7.39 states/eV/f.u.
# Symmetry: No. 166
data_CeMg2GaPd4
_chemical_formula_sum 'Ce1 Mg2 Ga1 Pd4'
_cell_length_a 8.737
_cell_length_b 8.737
_cell_length_c 8.737
_cell_angle_alpha 29.70
_cell_angle_beta 29.70
_cell_angle_gamma 29.70
_symmetry_space_group_name_H-M 'P 1'
_symmetry_Int_Tables_number 1
_symmetry_space_group_name_Hall 'P 1'
loop_
_atom_site_label
_atom_site_type_symbol
_atom_site_fract_x
_atom_site_fract_y
_atom_site_fract_z
Ce1 Ce 0.000 0.000 0.000
Mg1 Mg 0.240 0.240 0.240
Mg2 Mg 0.760 0.760 0.760
Ga1 Ga 0.500 0.500 0.500
Pd1 Pd 0.131 0.131 0.131
Pd2 Pd 0.398 0.398 0.398
Pd3 Pd 0.602 0.602 0.602
Pd4 Pd 0.869 0.869 0.869

***

Record 6
# BaAcBi2 (PBE, optimized geometry)
# DOS at the Fermi energy: 2.42 states/eV/f.u.
# Symmetry: No. 123
# Distance to the lowest polymorph of the same formula: 0.183 eV per formula unit
data_BaAcBi2
_chemical_formula_sum 'Ba1 Ac1 Bi2'
_cell_length_a 4.434
_cell_length_b 4.434
_cell_length_c 7.780
_cell_angle_alpha 90.00
_cell_angle_beta 90.00
_cell_angle_gamma 90.00
_symmetry_space_group_name_H-M 'P 1'
_symmetry_Int_Tables_number 1
_symmetry_space_group_name_Hall 'P 1'
loop_
_atom_site_label
_atom_site_type_symbol
_atom_site_fract_x
_atom_site_fract_y
_atom_site_fract_z
Ba1 Ba 0.000 0.000 0.000
Ac1 Ac 0.000 0.000 0.500
Bi1 Bi 0.500 0.500 0.268
Bi2 Bi 0.500 0.500 0.732

***

Record 7
# Sm2P2Rh3 (PBE, optimized geometry)
# DOS at the Fermi energy: 4.88 states/eV/f.u.
# Symmetry: No. 12
data_Sm2P2Rh3
_chemical_formula_sum 'Sm2 P2 Rh3'
_cell_length_a 5.473
_cell_length_b 5.473
_cell_length_c 6.999
_cell_angle_alpha 112.32
_cell_angle_beta 112.32
_cell_angle_gamma 40.35
_symmetry_space_group_name_H-M 'P 1'
_symmetry_Int_Tables_number 1
_symmetry_space_group_name_Hall 'P 1'
loop_
_atom_site_label
_atom_site_type_symbol
_atom_site_fract_x
_atom_site_fract_y
_atom_site_fract_z
Sm1 Sm 0.132 0.132 0.275
Sm2 Sm 0.868 0.868 0.725
P1 P 0.153 0.153 0.728
P2 P 0.847 0.847 0.272
Rh1 Rh 0.365 0.365 0.071
Rh2 Rh 0.500 0.500 0.500
Rh3 Rh 0.635 0.635 0.929

***

Record 8
# ZnTe2Os (PBE, optimized geometry)
# DOS at the Fermi energy: 3.17 states/eV/f.u.
# Symmetry: No. 160
# Raw formation energy: 1.34 eV per formula unit
data_ZnTe2Os
_chemical_formula_sum 'Zn1 Te2 Os1'
_cell_length_a 10.381
_cell_length_b 10.381
_cell_length_c 10.381
_cell_angle_alpha 17.94
_cell_angle_beta 17.94
_cell_angle_gamma 17.94
_symmetry_space_group_name_H-M 'P 1'
_symmetry_Int_Tables_number 1
_symmetry_space_group_name_Hall 'P 1'
loop_
_atom_site_label
_atom_site_type_symbol
_atom_site_fract_x
_atom_site_fract_y
_atom_site_fract_z
Zn1 Zn 0.000 0.000 0.000
Te1 Te 0.250 0.250 0.250
Te2 Te 0.456 0.456 0.456
Os1 Os 0.729 0.729 0.729

***

Record 9
# RbSr2Sb2 (PBE, optimized geometry)
# DOS at the Fermi energy: 4.29 states/eV/f.u.
# Symmetry: No. 139
# Distance to the lowest polymorph of the same formula: 0.708 eV per formula unit
# Raw formation energy: -3.22 eV per formula unit
data_RbSr2Sb2
_chemical_formula_sum 'Rb1 Sr2 Sb2'
_cell_length_a 7.904
_cell_length_b 7.904
_cell_length_c 7.904
_cell_angle_alpha 138.07
_cell_angle_beta 138.07
_cell_angle_gamma 60.79
_symmetry_space_group_name_H-M 'P 1'
_symmetry_Int_Tables_number 1
_symmetry_space_group_name_Hall 'P 1'
loop_
_atom_site_label
_atom_site_type_symbol
_atom_site_fract_x
_atom_site_fract_y
_atom_site_fract_z
Rb1 Rb 0.000 0.000 0.000
Sr1 Sr 0.250 0.750 0.500
Sr2 Sr 0.750 0.250 0.500
Sb1 Sb 0.382 0.382 0.000
Sb2 Sb 0.618 0.618 0.000

***

Record 10
# Pm4Nd2HoTh (PBE, optimized geometry)
# DOS at the Fermi energy: 15.82 states/eV/f.u.
# Symmetry: No. 10
data_Pm4Nd2HoTh
_chemical_formula_sum 'Pm4 Nd2 Ho1 Th1'
_cell_length_a 6.077
_cell_length_b 6.084
_cell_length_c 7.320
_cell_angle_alpha 90.00
_cell_angle_beta 90.10
_cell_angle_gamma 90.00
_symmetry_space_group_name_H-M 'P 1'
_symmetry_Int_Tables_number 1
_symmetry_space_group_name_Hall 'P 1'
loop_
_atom_site_label
_atom_site_type_symbol
_atom_site_fract_x
_atom_site_fract_y
_atom_site_fract_z
Pm1 Pm 0.000 0.000 0.246
Pm2 Pm 0.000 0.000 0.754
Pm3 Pm 0.500 0.500 0.247
Pm4 Pm 0.500 0.500 0.753
Nd1 Nd 0.000 0.500 0.500
Nd2 Nd 0.500 0.000 0.000
Ho1 Ho 0.500 0.000 0.500
Th1 Th 0.000 0.500 0.000

***

Record 11
# LiTbScIn (PBE, optimized geometry)
# DOS at the Fermi energy: 4.06 states/eV/f.u.
# Symmetry: No. 216
data_LiTbScIn
_chemical_formula_sum 'Li1 Tb1 Sc1 In1'
_cell_length_a 5.136
_cell_length_b 5.136
_cell_length_c 5.136
_cell_angle_alpha 60.00
_cell_angle_beta 60.00
_cell_angle_gamma 60.00
_symmetry_space_group_name_H-M 'P 1'
_symmetry_Int_Tables_number 1
_symmetry_space_group_name_Hall 'P 1'
loop_
_atom_site_label
_atom_site_type_symbol
_atom_site_fract_x
_atom_site_fract_y
_atom_site_fract_z
Li1 Li 0.000 0.000 0.000
Tb1 Tb 0.750 0.750 0.750
Sc1 Sc 0.250 0.250 0.250
In1 In 0.500 0.500 0.500

***

Record 12
# HoTiCl (PBE, optimized geometry)
# DOS at the Fermi energy: 1.55 states/eV/f.u.
# Symmetry: No. 129
# Raw formation energy: -2.47 eV per formula unit
data_HoTiCl
_chemical_formula_sum 'Ho2 Ti2 Cl2'
_cell_length_a 3.576
_cell_length_b 3.576
_cell_length_c 11.183
_cell_angle_alpha 90.00
_cell_angle_beta 90.00
_cell_angle_gamma 90.00
_symmetry_space_group_name_H-M 'P 1'
_symmetry_Int_Tables_number 1
_symmetry_space_group_name_Hall 'P 1'
loop_
_atom_site_label
_atom_site_type_symbol
_atom_site_fract_x
_atom_site_fract_y
_atom_site_fract_z
Ho1 Ho 0.250 0.250 0.225
Ho2 Ho 0.750 0.750 0.775
Ti1 Ti 0.250 0.250 0.953
Ti2 Ti 0.750 0.750 0.047
Cl1 Cl 0.250 0.250 0.644
Cl2 Cl 0.750 0.750 0.356

***

Number 1: energy -0.6154 Ry/atom. Number 2: energy -0.4864 Ry/atom. Number 3: energy -0.1632 Ry/atom. Number 4: energy -0.4103 Ry/atom. Number 5: energy -0.3509 Ry/atom. Number 6: energy -0.3117 Ry/atom. Number 7: energy -0.5185 Ry/atom. Number 8: energy -0.3206 Ry/atom. Number 9: energy -0.2322 Ry/atom. Number 10: energy -0.3626 Ry/atom. Number 11: energy -0.3054 Ry/atom. Number 12: energy -0.4113 Ry/atom.